First-principles (GGA+U) data for K2MnAg2F6 after structural relaxation, as listed in Alexandria. Values from VASP.

The electronic total energy comes out at -4.48 eV/atom.

Geometry as Quantum ESPRESSO input:
```
&SYSTEM
  ibrav = 0, nat = 11, ntyp = 4
/
ATOMIC_SPECIES
K 39.10 K.upf
Mn 54.94 Mn.upf
Ag 107.87 Ag.upf
F 19.00 F.upf
CELL_PARAMETERS angstrom
5.6944 -3.1162 0.0000
5.6944 3.1162 0.0000
-3.2043 0.0000 5.6278
ATOMIC_POSITIONS crystal
K 0.2237 0.2237 0.1541
K 0.7763 0.7763 0.8459
Mn 0.0000 0.0000 0.5000
Ag 0.4213 0.4213 0.7448
Ag 0.5787 0.5787 0.2552
F 0.1664 0.6903 0.2204
F 0.1983 0.1983 0.5399
F 0.3097 0.8336 0.7796
F 0.6903 0.1664 0.2204
F 0.8017 0.8017 0.4601
F 0.8336 0.3097 0.7796
```